Entry 1:
A plane-wave DFT calculation with GGA-PBE was carried out for an optimized crystal structure of RhS3N.

Cell: 4.054 4.054 4.054 Å, 90.00 90.00 90.00°
Fractional positions:
Rh  0.000  0.000  0.000
S  0.000  0.500  0.500
S  0.500  0.000  0.500
S  0.500  0.500  0.000
N  0.500  0.500  0.500

Calculated values
For the raw formation energy, the calculation gives 1.2124 eV/atom. Its uncorrected energy is -22.00 eV per formula unit. For the total magnetization, the calculation gives 0.00 μB/f.u. The value obtained for the density of states at the Fermi level is 0.872 states/eV per atom. The space group is Pm-3m (221).

---

Entry 2:
A plane-wave DFT calculation with GGA-PBE was carried out for an optimized crystal structure of Rh2SN.

Cell: 4.070 4.070 4.070 Å, 60.00 60.00 60.00°
Fractional positions:
Rh  0.250  0.250  0.250
Rh  0.750  0.750  0.750
S  0.000  0.000  0.000
N  0.500  0.500  0.500

Calculated values
For the raw formation energy, the calculation gives 0.7463 eV/atom. Its uncorrected energy is -24.17 eV per formula unit. For the total magnetization, the calculation gives 0.61 μB/f.u. The value obtained for the density of states at the Fermi level is 1.207 states/eV per atom. The space group is Fm-3m (225).

---

Entry 3:
A plane-wave DFT calculation with GGA-PBE was carried out for an optimized crystal structure of RhS3N.

Cell: 4.687 4.687 4.687 Å, 90.00 90.00 90.00°
Fractional positions:
Rh  0.000  0.000  0.000
S  0.000  0.000  0.500
S  0.000  0.500  0.000
S  0.500  0.000  0.000
N  0.500  0.500  0.500

Calculated values
For the raw formation energy, the calculation gives 1.5617 eV/atom. Its uncorrected energy is -20.25 eV per formula unit. For the total magnetization, the calculation gives 0.97 μB/f.u. The value obtained for the density of states at the Fermi level is 1.082 states/eV per atom. The space group is Pm-3m (221).

---

Entry 4:
A plane-wave DFT calculation with GGA-PBE was carried out for an optimized crystal structure of RhSN3.

Cell: 3.877 3.877 3.877 Å, 90.00 90.00 90.00°
Fractional positions:
Rh  0.000  0.000  0.000
S  0.500  0.500  0.500
N  0.000  0.000  0.500
N  0.000  0.500  0.000
N  0.500  0.000  0.000

Calculated values
For the raw formation energy, the calculation gives 2.0007 eV/atom. Its uncorrected energy is -26.45 eV per formula unit. For the total magnetization, the calculation gives 2.07 μB/f.u. The value obtained for the density of states at the Fermi level is 0.764 states/eV per atom. The space group is Pm-3m (221).

---

Entry 5:
A plane-wave DFT calculation with GGA-PBE was carried out for an optimized crystal structure of RhSN3.

Cell: 3.520 3.520 3.520 Å, 90.00 90.00 90.00°
Fractional positions:
Rh  0.000  0.000  0.000
S  0.500  0.500  0.500
N  0.000  0.500  0.500
N  0.500  0.000  0.500
N  0.500  0.500  0.000

Calculated values
For the raw formation energy, the calculation gives 1.9338 eV/atom. Its uncorrected energy is -26.79 eV per formula unit. For the total magnetization, the calculation gives 0.00 μB/f.u. The value obtained for the density of states at the Fermi level is 0.698 states/eV per atom. The space group is Pm-3m (221).

---

Entry 6:
A plane-wave DFT calculation with GGA-PBE was carried out for an optimized crystal structure of RhSN2.

Cell: 5.993 5.993 5.993 Å, 137.25 137.25 62.05°
Fractional positions:
Rh  0.000  0.000  0.000
Rh  0.750  0.250  0.500
S  0.250  0.750  0.500
S  0.500  0.500  0.000
N  0.141  0.625  0.016
N  0.375  0.391  0.516
N  0.609  0.125  0.984
N  0.875  0.859  0.484

Calculated values
For the raw formation energy, the calculation gives 1.2708 eV/atom. Its uncorrected energy is -23.05 eV per formula unit. For the total magnetization, the calculation gives 0.00 μB/f.u. The value obtained for the density of states at the Fermi level is 0.638 states/eV per atom. The space group is I-42d (122).

---

> Which formula does entry 5 have?

RhSN3

---

> Which value of raw formation energy does entry 3 give?

1.5617 eV/atom